Entry 1:
Computed, not measured: a relaxed structure of RbLaOs3 at the PBEsol level of DFT.

Total energy in eV/atom: -5.5770
SG: No. 221
Density in kg/m³: 12195
Density of states at the Fermi level in states/eV/atom: 1.29

Unit cell a=4.7661 b=4.7661 c=4.7661 alpha=90.00 beta=90.00 gamma=90.00
With the nearest neighbours (Å) after each atom.
Positions (direct):
Rb (0.0000, 0.0000, 0.0000)  6 Os 2.38
La (0.5000, 0.5000, 0.5000)  12 Os 3.37
Os (0.0000, 0.0000, 0.5000)  2 Rb 2.38
Os (0.0000, 0.5000, 0.0000)  2 Rb 2.38
Os (0.5000, 0.0000, 0.0000)  2 Rb 2.38

Entry 2:
Computed, not measured: a relaxed structure of RbSr2LaOs at the PBEsol level of DFT.

Total energy in eV/atom: -2.9295
SG: No. 123
Density in kg/m³: 5878
Density of states at the Fermi level in states/eV/atom: 1.46

Unit cell a=5.7564 b=5.7564 c=5.0285 alpha=90.00 beta=90.00 gamma=90.00
With the nearest neighbours (Å) after each atom.
Positions (direct):
Rb (0.0000, 0.0000, 0.0000)  2 Os 2.51
Sr (0.0000, 0.5000, 0.0000)  2 Rb 2.88
Sr (0.5000, 0.0000, 0.0000)  2 Rb 2.88
La (0.5000, 0.5000, 0.5000)  8 Sr 3.82, 4 Os 4.07
Os (0.0000, 0.0000, 0.5000)  2 Rb 2.51

Entry 3:
Computed, not measured: a relaxed structure of LaReOs at the PBEsol level of DFT.

SG: No. 156
Density in kg/m³: 12482
Polymorph energy (0 for the lowest one) in meV per atom: 0
Density of states at the Fermi level in states/eV/atom: 0.58

Unit cell a=4.1163 b=4.1163 c=4.6719 alpha=90.00 beta=90.00 gamma=120.00
With the nearest neighbours (Å) after each atom.
Positions (direct):
La (0.0000, 0.0000, 0.0000)  6 Os 3.20-3.47, 6 Re 3.20-3.47
Re (0.6667, 0.3333, 0.5415)  3 Os 2.41
Os (0.3333, 0.6667, 0.4582)  3 Re 2.41